This record from Alexandria describes an optimized crystal structure of AlFe3Pb. The functional is PBE.

Summary:
The energy above the lowest structure with this stoichiometry comes out at 0 meV per atom.

The structure in CIF format:
```
data_AlFe3Pb
_chemical_formula_sum 'Al1 Fe3 Pb1'
_space_group_name_H-M_alt 'P m -3 m'
_space_group_IT_number 221
_space_group_name_Hall '-P 4 2 3'
_cell_length_a 4.449
_cell_length_b 4.449
_cell_length_c 4.449
_cell_angle_alpha 90.00
_cell_angle_beta 90.00
_cell_angle_gamma 90.00
loop_
_atom_site_label
_atom_site_type_symbol
_atom_site_fract_x
_atom_site_fract_y
_atom_site_fract_z
Al1 Al 0.000 0.000 0.000
Fe1 Fe 0.000 0.000 0.500
Pb1 Pb 0.500 0.500 0.500
```



This record from Alexandria describes an optimized crystal structure of Al2FePb. The functional is PBE.

Summary:
The electronic total energy comes out at -4.475 eV per atom.

The structure in CIF format:
```
data_Al2FePb
_chemical_formula_sum 'Al4 Fe2 Pb2'
_space_group_name_H-M_alt 'C m m m'
_space_group_IT_number 65
_space_group_name_Hall '-C 2 2'
_cell_length_a 5.581
_cell_length_b 8.348
_cell_length_c 3.175
_cell_angle_alpha 90.00
_cell_angle_beta 90.00
_cell_angle_gamma 90.00
loop_
_atom_site_label
_atom_site_type_symbol
_atom_site_fract_x
_atom_site_fract_y
_atom_site_fract_z
Al1 Al 0.250 0.250 0.000
Fe1 Fe 0.000 0.000 0.500
Pb1 Pb 0.000 0.500 0.500
```



This record from Alexandria describes an optimized crystal structure of Al2FePb. The functional is PBE.

Summary:
The electronic total energy comes out at -4.580 eV per atom.

The structure in CIF format:
```
data_Al2FePb
_chemical_formula_sum 'Al6 Fe3 Pb3'
_space_group_name_H-M_alt 'R 3 m'
_space_group_IT_number 160
_space_group_name_Hall 'R 3 -2"'
_cell_length_a 3.1266
_cell_length_b 3.1266
_cell_length_c 26.7263
_cell_angle_alpha 90.00
_cell_angle_beta 90.00
_cell_angle_gamma 120.00
loop_
_atom_site_label
_atom_site_type_symbol
_atom_site_fract_x
_atom_site_fract_y
_atom_site_fract_z
Al1 Al 0.0000 0.0000 0.0000
Al2 Al 0.0000 0.0000 0.2500
Fe1 Fe 0.0000 0.0000 0.7312
Pb1 Pb 0.0000 0.0000 0.4799
```



This record from Alexandria describes an optimized crystal structure of Al2FeRuPb. The functional is PBE.

Summary:
The electronic total energy comes out at -3.770 eV per atom.

The structure in CIF format:
```
data_Al2FeRuPb
_chemical_formula_sum 'Al2 Fe1 Ru1 Pb1'
_space_group_name_H-M_alt 'P 4/m m m'
_space_group_IT_number 123
_space_group_name_Hall '-P 4 2'
_cell_length_a 5.092
_cell_length_b 5.092
_cell_length_c 4.719
_cell_angle_alpha 90.00
_cell_angle_beta 90.00
_cell_angle_gamma 90.00
loop_
_atom_site_label
_atom_site_type_symbol
_atom_site_fract_x
_atom_site_fract_y
_atom_site_fract_z
Al1 Al 0.000 0.500 0.000
Fe1 Fe 0.000 0.000 0.500
Ru1 Ru 0.500 0.500 0.500
Pb1 Pb 0.000 0.000 0.000
```



Density for every record listed, in sequence, given in g/cm³: 7.58; 7.12; 6.98; 5.67.